ScHg2Te2 (PBE-GGA, optimized geometry); excess energy over the best structure of this formula in the dataset = 76 kJ/mol of formula units; symmetry = P4/mbm
1.0
7.9510 0.0000 0.0000
0.0000 7.9510 0.0000
0.0000 0.0000 4.1943
Sc Hg Te
2 4 4
Direct
0.0000 0.0000 0.0000
0.5000 0.5000 0.0000
0.1322 0.3678 0.0000
0.3678 0.8678 0.0000
0.6322 0.1322 0.0000
0.8678 0.6322 0.0000
0.1764 0.6764 0.5000
0.3236 0.1764 0.5000
0.6764 0.8236 0.5000
0.8236 0.3236 0.5000